(1)
# Sr2HgP3Pt12 GGA-PBE relaxed
data_Sr2HgP3Pt12
_chemical_formula_sum 'Sr6 Hg3 P9 Pt36'
_cell_length_a 8.3500
_cell_length_b 8.3500
_cell_length_c 18.3749
_cell_angle_alpha 90.00
_cell_angle_beta 90.00
_cell_angle_gamma 120.00
_space_group_name_H-M_alt 'R -3 m'
_space_group_IT_number 166
_space_group_name_Hall '-R 3 2"'
loop_
_atom_site_label
_atom_site_type_symbol
_atom_site_fract_x
_atom_site_fract_y
_atom_site_fract_z
Sr1 Sr 0.0000 0.0000 0.1049
Hg1 Hg 0.0000 0.0000 0.5000
P1 P 0.0000 0.5000 0.0000
Pt1 Pt 0.0110 0.5055 0.8772
Pt2 Pt 0.0450 0.5225 0.3590
# uncorrected energy = -5.40 eV per atom
# energy relative to the elements = -270 meV/atom
# total magnetic moment = 0.00 μB/cell

---

(2)
# TcHgP2Pt GGA-PBE relaxed
data_TcHgP2Pt
_chemical_formula_sum 'Tc1 Hg1 P2 Pt1'
_cell_length_a 4.843
_cell_length_b 4.843
_cell_length_c 5.054
_cell_angle_alpha 90.00
_cell_angle_beta 90.00
_cell_angle_gamma 90.00
_space_group_name_H-M_alt 'P 4/m m m'
_space_group_IT_number 123
_space_group_name_Hall '-P 4 2'
loop_
_atom_site_label
_atom_site_type_symbol
_atom_site_fract_x
_atom_site_fract_y
_atom_site_fract_z
Tc1 Tc 0.000 0.000 0.000
Hg1 Hg 0.500 0.500 0.500
P1 P 0.000 0.500 0.500
Pt1 Pt 0.500 0.500 0.000
# uncorrected energy = -3.70 eV per atom
# energy relative to the elements = 1804 meV/atom
# total magnetic moment = 3.43 μB/cell

---

(3)
# TiHgPPt2 GGA-PBE relaxed
data_TiHgPPt2
_chemical_formula_sum 'Ti1 Hg1 P1 Pt2'
_cell_length_a 4.545
_cell_length_b 4.545
_cell_length_c 4.542
_cell_angle_alpha 90.00
_cell_angle_beta 90.00
_cell_angle_gamma 90.00
_space_group_name_H-M_alt 'P 4/m m m'
_space_group_IT_number 123
_space_group_name_Hall '-P 4 2'
loop_
_atom_site_label
_atom_site_type_symbol
_atom_site_fract_x
_atom_site_fract_y
_atom_site_fract_z
Ti1 Ti 0.000 0.000 0.000
Hg1 Hg 0.500 0.500 0.000
P1 P 0.000 0.000 0.500
Pt1 Pt 0.000 0.500 0.500
# uncorrected energy = -5.25 eV per atom
# energy relative to the elements = -113 meV/atom
# total magnetic moment = 0.00 μB/cell

---

(4)
# VHgP2Pt GGA-PBE relaxed
data_VHgP2Pt
_chemical_formula_sum 'V1 Hg1 P2 Pt1'
_cell_length_a 4.399
_cell_length_b 4.399
_cell_length_c 5.228
_cell_angle_alpha 90.00
_cell_angle_beta 90.00
_cell_angle_gamma 90.00
_space_group_name_H-M_alt 'P 4/m m m'
_space_group_IT_number 123
_space_group_name_Hall '-P 4 2'
loop_
_atom_site_label
_atom_site_type_symbol
_atom_site_fract_x
_atom_site_fract_y
_atom_site_fract_z
V1 V 0.000 0.000 0.000
Hg1 Hg 0.000 0.000 0.500
P1 P 0.000 0.500 0.000
Pt1 Pt 0.500 0.500 0.500
# uncorrected energy = -4.59 eV per atom
# energy relative to the elements = 669 meV/atom
# total magnetic moment = 0.00 μB/cell

---

(5)
# ZnHgPPt2 GGA-PBE relaxed
data_ZnHgPPt2
_chemical_formula_sum 'Zn1 Hg1 P1 Pt2'
_cell_length_a 4.678
_cell_length_b 4.678
_cell_length_c 4.786
_cell_angle_alpha 90.00
_cell_angle_beta 90.00
_cell_angle_gamma 90.00
_space_group_name_H-M_alt 'P 4/m m m'
_space_group_IT_number 123
_space_group_name_Hall '-P 4 2'
loop_
_atom_site_label
_atom_site_type_symbol
_atom_site_fract_x
_atom_site_fract_y
_atom_site_fract_z
Zn1 Zn 0.000 0.000 0.000
Hg1 Hg 0.000 0.000 0.500
P1 P 0.500 0.500 0.500
Pt1 Pt 0.000 0.500 0.000
# uncorrected energy = -2.88 eV per atom
# energy relative to the elements = 937 meV/atom
# total magnetic moment = 0.00 μB/cell

---

(6)
# Rb2HgP2 GGA-PBE relaxed
data_Rb2HgP2
_chemical_formula_sum 'Rb4 Hg2 P4'
_cell_length_a 6.482
_cell_length_b 6.482
_cell_length_c 9.414
_cell_angle_alpha 90.00
_cell_angle_beta 90.00
_cell_angle_gamma 90.00
_space_group_name_H-M_alt 'I 4/m m m'
_space_group_IT_number 139
_space_group_name_Hall '-I 4 2'
loop_
_atom_site_label
_atom_site_type_symbol
_atom_site_fract_x
_atom_site_fract_y
_atom_site_fract_z
Rb1 Rb 0.000 0.500 0.250
Hg1 Hg 0.000 0.000 0.000
P1 P 0.000 0.000 0.390
# uncorrected energy = -2.75 eV per atom
# energy relative to the elements = -136 meV/atom
# polymorph energy (0 for the lowest one) = 78 meV per atom
# total magnetic moment = 4.00 μB/cell

---

(7)
# Rb2HgP2 GGA-PBE relaxed
data_Rb2HgP2
_chemical_formula_sum 'Rb4 Hg2 P4'
_cell_length_a 10.599
_cell_length_b 10.599
_cell_length_c 2.939
_cell_angle_alpha 90.00
_cell_angle_beta 90.00
_cell_angle_gamma 90.00
_space_group_name_H-M_alt 'P 4/m b m'
_space_group_IT_number 127
_space_group_name_Hall '-P 4 2ab'
loop_
_atom_site_label
_atom_site_type_symbol
_atom_site_fract_x
_atom_site_fract_y
_atom_site_fract_z
Rb1 Rb 0.142 0.358 0.000
Hg1 Hg 0.000 0.000 0.000
P1 P 0.155 0.655 0.500
# uncorrected energy = -2.22 eV per atom
# energy relative to the elements = 389 meV/atom
# polymorph energy (0 for the lowest one) = 603 meV per atom
# total magnetic moment = 1.00 μB/cell

---

(8)
# RbHg3P GGA-PBE relaxed
data_RbHg3P
_chemical_formula_sum 'Rb1 Hg3 P1'
_cell_length_a 5.492
_cell_length_b 5.492
_cell_length_c 5.492
_cell_angle_alpha 90.00
_cell_angle_beta 90.00
_cell_angle_gamma 90.00
_space_group_name_H-M_alt 'P m -3 m'
_space_group_IT_number 221
_space_group_name_Hall '-P 4 2 3'
loop_
_atom_site_label
_atom_site_type_symbol
_atom_site_fract_x
_atom_site_fract_y
_atom_site_fract_z
Rb1 Rb 0.000 0.000 0.000
Hg1 Hg 0.000 0.500 0.500
P1 P 0.500 0.500 0.500
# uncorrected energy = -1.39 eV per atom
# energy relative to the elements = 68 meV/atom
# polymorph energy (0 for the lowest one) = 0 meV per atom
# total magnetic moment = 0.00 μB/cell

---

(9)
# RbHgP2 GGA-PBE relaxed
data_RbHgP2
_chemical_formula_sum 'Rb4 Hg4 P8'
_cell_length_a 4.976
_cell_length_b 4.976
_cell_length_c 18.889
_cell_angle_alpha 90.00
_cell_angle_beta 90.00
_cell_angle_gamma 90.00
_space_group_name_H-M_alt 'I 41/a m d'
_space_group_IT_number 141
loop_
_space_group_symop_operation_xyz
'x,y,z'
'-x,-y,-z'
'-y+1/4,x+3/4,z+1/4'
'y+1/4,-x+3/4,-z+1/4'
'-x+1/2,-y,z+1/2'
'x+1/2,y,-z+1/2'
'y+1/4,-x+1/4,z+3/4'
'-y+1/4,x+1/4,-z+3/4'
'x,-y,-z'
'-x,y,z'
'-y+1/4,-x+1/4,-z+3/4'
'y+1/4,x+1/4,z+3/4'
'-x+1/2,y,-z+1/2'
'x+1/2,-y,z+1/2'
'y+1/4,x+3/4,-z+1/4'
'-y+1/4,-x+3/4,z+1/4'
'x+1/2,y+1/2,z+1/2'
'-x+1/2,-y+1/2,-z+1/2'
'-y+3/4,x+1/4,z+3/4'
'y+3/4,-x+1/4,-z+3/4'
'-x,-y+1/2,z'
'x,y+1/2,-z'
'y+3/4,-x+3/4,z+1/4'
'-y+3/4,x+3/4,-z+1/4'
'x+1/2,-y+1/2,-z+1/2'
'-x+1/2,y+1/2,z+1/2'
'-y+3/4,-x+3/4,-z+1/4'
'y+3/4,x+3/4,z+1/4'
'-x,y+1/2,-z'
'x,-y+1/2,z'
'y+3/4,x+1/4,-z+3/4'
'-y+3/4,-x+1/4,z+3/4'
loop_
_atom_site_label
_atom_site_type_symbol
_atom_site_fract_x
_atom_site_fract_y
_atom_site_fract_z
Rb1 Rb 0.000 0.250 0.375
Hg1 Hg 0.000 0.250 0.875
P1 P 0.000 0.000 0.000
# uncorrected energy = -2.88 eV per atom
# energy relative to the elements = 143 meV/atom
# total magnetic moment = 0.00 μB/cell

---

(10)
# RbHg2P2 GGA-PBE relaxed
data_RbHg2P2
_chemical_formula_sum 'Rb2 Hg4 P4'
_cell_length_a 4.772
_cell_length_b 4.772
_cell_length_c 11.124
_cell_angle_alpha 90.00
_cell_angle_beta 90.00
_cell_angle_gamma 90.00
_space_group_name_H-M_alt 'I 4/m m m'
_space_group_IT_number 139
_space_group_name_Hall '-I 4 2'
loop_
_atom_site_label
_atom_site_type_symbol
_atom_site_fract_x
_atom_site_fract_y
_atom_site_fract_z
Rb1 Rb 0.000 0.000 0.000
Hg1 Hg 0.000 0.000 0.371
P1 P 0.000 0.500 0.250
# uncorrected energy = -2.33 eV per atom
# energy relative to the elements = 145 meV/atom
# polymorph energy (0 for the lowest one) = 183 meV per atom
# total magnetic moment = 0.00 μB/cell

---

(11)
# RbHg2P GGA-PBE relaxed
data_RbHg2P
_chemical_formula_sum 'Rb4 Hg8 P4'
_cell_length_a 8.844
_cell_length_b 8.844
_cell_length_c 6.982
_cell_angle_alpha 90.00
_cell_angle_beta 90.00
_cell_angle_gamma 90.00
_space_group_name_H-M_alt 'I -4 2 d'
_space_group_IT_number 122
_space_group_name_Hall 'I -4 2bw'
loop_
_atom_site_label
_atom_site_type_symbol
_atom_site_fract_x
_atom_site_fract_y
_atom_site_fract_z
Rb1 Rb 0.000 0.000 0.000
Hg1 Hg 0.134 0.750 0.625
P1 P 0.000 0.000 0.500
# uncorrected energy = -1.74 eV per atom
# energy relative to the elements = 3 meV/atom
# total magnetic moment = 0.00 μB/cell

---

(12)
# Rb2HgP2 GGA-PBE relaxed
data_Rb2HgP2
_chemical_formula_sum 'Rb4 Hg2 P4'
_cell_length_a 8.803
_cell_length_b 8.803
_cell_length_c 4.519
_cell_angle_alpha 90.00
_cell_angle_beta 90.00
_cell_angle_gamma 90.00
_space_group_name_H-M_alt 'P 4/m b m'
_space_group_IT_number 127
_space_group_name_Hall '-P 4 2ab'
loop_
_atom_site_label
_atom_site_type_symbol
_atom_site_fract_x
_atom_site_fract_y
_atom_site_fract_z
Rb1 Rb 0.201 0.299 0.000
Hg1 Hg 0.000 0.000 0.500
P1 P 0.082 0.582 0.500
# uncorrected energy = -2.83 eV per atom
# energy relative to the elements = -214 meV/atom
# polymorph energy (0 for the lowest one) = 0 meV per atom
# total magnetic moment = 0.00 μB/cell

---

(13)
# RbHg2P2 GGA-PBE relaxed
data_RbHg2P2
_chemical_formula_sum 'Rb2 Hg4 P4'
_cell_length_a 4.927
_cell_length_b 4.927
_cell_length_c 12.041
_cell_angle_alpha 90.00
_cell_angle_beta 90.00
_cell_angle_gamma 90.00
_space_group_name_H-M_alt 'I 4/m m m'
_space_group_IT_number 139
_space_group_name_Hall '-I 4 2'
loop_
_atom_site_label
_atom_site_type_symbol
_atom_site_fract_x
_atom_site_fract_y
_atom_site_fract_z
Rb1 Rb 0.000 0.000 0.000
Hg1 Hg 0.000 0.500 0.250
P1 P 0.000 0.000 0.416
# uncorrected energy = -2.52 eV per atom
# energy relative to the elements = -38 meV/atom
# polymorph energy (0 for the lowest one) = 0 meV per atom
# total magnetic moment = 0.00 μB/cell